Model P:
{"formula": "CdGaCu", "functional": "PBE-GGA", "state": "relaxed", "lattice_angstrom": [[2.919, 0.000, 0.000], [0.000, 4.172, 0.000], [-1.308, 0.000, 8.607]], "species": ["Cd", "Cd", "Ga", "Ga", "Cu", "Cu"], "fractional_positions": [[0.199, 0.250, 0.401], [0.801, 0.750, 0.599], [0.069, 0.750, 0.147], [0.931, 0.250, 0.853], [0.447, 0.750, 0.886], [0.553, 0.250, 0.114]], "space_group": "P2_1/m (11)", "n_ef_per_ev_cell": 1.5, "crystal_system": "monoclinic"}

=====

Model Q:
{"formula": "CdGaCu", "functional": "PBE-GGA", "state": "relaxed", "lattice_angstrom": [[3.224, 0.000, 0.000], [0.000, 3.224, 0.000], [0.000, 0.000, 10.107]], "species": ["Cd", "Cd", "Ga", "Ga", "Cu", "Cu"], "fractional_positions": [[0.250, 0.250, 0.108], [0.750, 0.750, 0.892], [0.250, 0.250, 0.692], [0.750, 0.750, 0.308], [0.250, 0.250, 0.438], [0.750, 0.750, 0.562]], "space_group": "P4/nmm (129)", "n_ef_per_ev_cell": 2.6, "crystal_system": "tetragonal"}

=====

Model R:
{"formula": "CdGaCu", "functional": "PBE-GGA", "state": "relaxed", "lattice_angstrom": [[3.133, 0.000, 0.000], [-1.541, 4.153, 0.000], [-0.510, -0.333, 8.467]], "species": ["Cd", "Cd", "Ga", "Ga", "Cu", "Cu"], "fractional_positions": [[0.144, 0.292, 0.388], [0.856, 0.708, 0.612], [0.456, 0.856, 0.173], [0.544, 0.144, 0.827], [0.155, 0.291, 0.064], [0.845, 0.709, 0.936]], "space_group": "P-1 (2)", "n_ef_per_ev_cell": 1.3, "crystal_system": "triclinic"}

=====

Model S:
{"formula": "CdGaCu", "functional": "PBE-GGA", "state": "relaxed", "lattice_angstrom": [[-1.521, 1.521, 5.641], [1.521, -1.521, 5.641], [1.521, 1.521, -5.641]], "species": ["Cd", "Ga", "Cu"], "fractional_positions": [[0.000, 0.000, 0.000], [0.295, 0.295, 0.000], [0.664, 0.664, 0.000]], "space_group": "I4mm (107)", "n_ef_per_ev_cell": 0.9, "crystal_system": "tetragonal"}

=====

The structure with the most favorable energy is model P; the runner-up is 34 meV/atom above it.

=====

Model P:
{"formula": "CdGa2Cu2", "functional": "PBE-GGA", "state": "relaxed", "lattice_angstrom": [[7.723, 0.000, 0.000], [0.000, 7.723, 0.000], [0.000, 0.000, 2.719]], "species": ["Cd", "Cd", "Ga", "Ga", "Ga", "Ga", "Cu", "Cu", "Cu", "Cu"], "fractional_positions": [[0.000, 0.000, 0.000], [0.500, 0.500, 0.000], [0.125, 0.375, 0.000], [0.375, 0.875, 0.000], [0.625, 0.125, 0.000], [0.875, 0.625, 0.000], [0.175, 0.675, 0.500], [0.325, 0.175, 0.500], [0.675, 0.825, 0.500], [0.825, 0.325, 0.500]], "space_group": "P4/mbm (127)", "n_ef_per_ev_cell": 3.2, "crystal_system": "tetragonal"}

=====

Model Q:
{"formula": "CdGa2Cu2", "functional": "PBE-GGA", "state": "relaxed", "lattice_angstrom": [[-1.902, 1.902, 5.920], [1.902, -1.902, 5.920], [1.902, 1.902, -5.920]], "species": ["Cd", "Ga", "Ga", "Cu", "Cu"], "fractional_positions": [[0.000, 0.000, 0.000], [0.391, 0.391, 0.000], [0.609, 0.609, 0.000], [0.250, 0.750, 0.500], [0.750, 0.250, 0.500]], "space_group": "I4/mmm (139)", "n_ef_per_ev_cell": 1.6, "crystal_system": "tetragonal"}

=====

The structure with the most favorable energy is model P; the runner-up is 67 meV/atom above it.

=====

Model P:
{"formula": "CdGa2Cu2", "functional": "PBE-GGA", "state": "relaxed", "lattice_angstrom": [[7.591, 0.000, 0.000], [0.000, 7.591, 0.000], [0.000, 0.000, 2.804]], "species": ["Cd", "Cd", "Ga", "Ga", "Ga", "Ga", "Cu", "Cu", "Cu", "Cu"], "fractional_positions": [[0.000, 0.000, 0.000], [0.500, 0.500, 0.000], [0.175, 0.325, 0.500], [0.325, 0.825, 0.500], [0.675, 0.175, 0.500], [0.825, 0.675, 0.500], [0.120, 0.620, 0.000], [0.380, 0.120, 0.000], [0.620, 0.880, 0.000], [0.880, 0.380, 0.000]], "space_group": "P4/mbm (127)", "n_ef_per_ev_cell": 2.7, "crystal_system": "tetragonal"}

=====

Model Q:
{"formula": "CdGa2Cu2", "functional": "PBE-GGA", "state": "relaxed", "lattice_angstrom": [[-1.864, 1.864, 6.031], [1.864, -1.864, 6.031], [1.864, 1.864, -6.031]], "species": ["Cd", "Ga", "Ga", "Cu", "Cu"], "fractional_positions": [[0.000, 0.000, 0.000], [0.250, 0.750, 0.500], [0.750, 0.250, 0.500], [0.397, 0.397, 0.000], [0.603, 0.603, 0.000]], "space_group": "I4/mmm (139)", "n_ef_per_ev_cell": 1.9, "crystal_system": "tetragonal"}

=====

The structure with the most favorable energy is model P; the runner-up is 30 meV/atom above it.